[1]
{
  "formula": "Li4Zn3Hg",
  "functional": "GGA-PBE",
  "state": "optimized geometry",
  "cell": [[4.263, 0.000, 1.258], [1.946, 3.793, 1.258], [0.011, 0.007, 7.813]],
  "species": ["Li", "Li", "Li", "Li", "Hg", "Zn", "Zn", "Zn"],
  "fractional_positions": [[0.377, 0.377, 0.870], [0.623, 0.623, 0.130], [0.126, 0.126, 0.623], [0.874, 0.874, 0.377], [0.000, 0.000, 0.000], [0.500, 0.500, 0.500], [0.247, 0.247, 0.259], [0.753, 0.753, 0.741]],
  "space_group": "No. 166",
  "rho_g_cm3": 5.58,
  "formation_enthalpy_0k_mev_per_atom": -199.5
}

[2]
{
  "formula": "Li15Zn2Hg2",
  "functional": "GGA-PBE",
  "state": "optimized geometry",
  "cell": [[-2.052, 1.625, 6.831], [-4.888, -4.786, 2.592], [2.970, -4.551, 4.897]],
  "species": ["Li", "Li", "Li", "Li", "Li", "Li", "Li", "Li", "Li", "Li", "Li", "Li", "Li", "Li", "Li", "Zn", "Zn", "Hg", "Hg"],
  "fractional_positions": [[0.704, 0.000, 0.296], [0.000, 0.704, 0.296], [0.500, 0.000, 0.000], [0.810, 0.436, 0.436], [0.436, 0.436, 0.810], [0.190, 0.564, 0.564], [0.564, 0.564, 0.190], [0.296, 0.704, 0.000], [0.000, 0.500, 0.000], [0.704, 0.296, 0.000], [0.296, 0.000, 0.704], [0.000, 0.000, 0.500], [0.564, 0.190, 0.564], [0.000, 0.296, 0.704], [0.436, 0.810, 0.436], [0.911, 0.911, 0.911], [0.089, 0.089, 0.089], [0.287, 0.287, 0.287], [0.713, 0.713, 0.713]],
  "space_group": "No. 166",
  "rho_g_cm3": 3.26,
  "formation_enthalpy_0k_mev_per_atom": -51.1
}

[3]
{
  "formula": "Li6Zn3Hg2",
  "functional": "GGA-PBE",
  "state": "optimized geometry",
  "cell": [[-1.744, 1.506, 1.752], [-4.836, 0.347, -5.111], [-2.807, -7.873, 3.973]],
  "species": ["Li", "Li", "Li", "Li", "Li", "Li", "Zn", "Zn", "Zn", "Hg", "Hg"],
  "fractional_positions": [[0.500, 0.652, 0.137], [0.500, 0.433, 0.357], [0.500, 0.348, 0.863], [0.500, 0.567, 0.643], [0.500, 0.953, 0.700], [0.500, 0.047, 0.300], [0.500, 0.000, 0.000], [0.000, 0.299, 0.115], [0.000, 0.701, 0.885], [0.000, 0.227, 0.561], [0.000, 0.773, 0.439]],
  "space_group": "No. 10",
  "rho_g_cm3": 5.68,
  "formation_enthalpy_0k_mev_per_atom": -196.5
}

[4]
{
  "formula": "Li2Zn3Hg",
  "functional": "GGA-PBE",
  "state": "optimized geometry",
  "cell": [[0.792, -4.790, -0.809], [4.808, -0.795, 0.690], [1.452, -4.450, 7.971]],
  "species": ["Li", "Li", "Li", "Li", "Hg", "Hg", "Zn", "Zn", "Zn", "Zn", "Zn", "Zn"],
  "fractional_positions": [[0.453, 0.705, 0.593], [0.547, 0.295, 0.407], [0.205, 0.953, 0.093], [0.795, 0.047, 0.907], [0.627, 0.873, 0.250], [0.373, 0.127, 0.750], [0.128, 0.372, 0.250], [0.960, 0.215, 0.573], [0.715, 0.460, 0.073], [0.872, 0.628, 0.750], [0.040, 0.785, 0.427], [0.285, 0.540, 0.927]],
  "space_group": "No. 15",
  "rho_g_cm3": 7.08,
  "formation_enthalpy_0k_mev_per_atom": -172.6
}

[5]
{
  "formula": "Li4ZnHg2",
  "functional": "GGA-PBE",
  "state": "optimized geometry",
  "cell": [[-1.402, -1.430, -4.166], [-2.735, -3.708, -0.371], [-6.822, 2.255, -1.043]],
  "species": ["Li", "Li", "Li", "Li", "Zn", "Hg", "Hg"],
  "fractional_positions": [[0.410, 0.410, 0.770], [0.590, 0.590, 0.230], [0.866, 0.866, 0.403], [0.134, 0.134, 0.597], [0.000, 0.000, 0.000], [0.270, 0.270, 0.191], [0.730, 0.730, 0.809]],
  "space_group": "No. 166",
  "polymorph_energy_ev_per_atom": 0.0000,
  "rho_g_cm3": 6.57,
  "formation_enthalpy_0k_mev_per_atom": -258.8
}

[6]
{
  "formula": "LiZnHg",
  "functional": "GGA-PBE",
  "state": "optimized geometry",
  "cell": [[-0.021, -2.960, 1.161], [2.731, 1.619, -0.178], [-1.032, 2.415, 6.138]],
  "species": ["Hg", "Li", "Zn"],
  "fractional_positions": [[0.000, 0.000, 0.007], [0.667, 0.333, 0.339], [0.333, 0.667, 0.654]],
  "space_group": "No. 156",
  "polymorph_energy_ev_per_atom": 0.1451,
  "rho_g_cm3": 7.76,
  "formation_enthalpy_0k_mev_per_atom": -59.8
}

[7]
{
  "formula": "Li12ZnHg6",
  "functional": "GGA-PBE",
  "state": "optimized geometry",
  "cell": [[-5.466, -0.555, -4.474], [3.875, -4.271, -4.116], [-2.362, -5.584, 3.667]],
  "species": ["Li", "Li", "Li", "Li", "Li", "Li", "Li", "Li", "Li", "Li", "Li", "Li", "Hg", "Hg", "Hg", "Hg", "Hg", "Hg", "Zn"],
  "fractional_positions": [[0.804, 0.529, 0.432], [0.471, 0.568, 0.196], [0.148, 0.371, 0.031], [0.629, 0.969, 0.852], [0.196, 0.471, 0.568], [0.432, 0.804, 0.529], [0.031, 0.148, 0.371], [0.371, 0.031, 0.148], [0.852, 0.629, 0.969], [0.969, 0.852, 0.629], [0.529, 0.432, 0.804], [0.568, 0.196, 0.471], [0.123, 0.725, 0.286], [0.714, 0.877, 0.275], [0.286, 0.123, 0.725], [0.877, 0.275, 0.714], [0.725, 0.286, 0.123], [0.275, 0.714, 0.877], [0.000, 0.000, 0.000]],
  "space_group": "No. 148",
  "rho_g_cm3": 6.31,
  "formation_enthalpy_0k_mev_per_atom": -262.6
}

[8]
{
  "formula": "Li9ZnHg2",
  "functional": "GGA-PBE",
  "state": "optimized geometry",
  "cell": [[-0.051, 3.933, -1.368], [-4.149, 0.068, 0.349], [1.019, 3.959, 11.342]],
  "species": ["Hg", "Hg", "Li", "Li", "Li", "Li", "Li", "Li", "Li", "Li", "Li", "Zn"],
  "fractional_positions": [[0.000, 0.000, 0.669], [0.000, 0.000, 0.331], [0.500, 0.500, 0.332], [0.000, 0.500, 0.163], [0.000, 0.500, 0.837], [0.500, 0.500, 0.000], [0.500, 0.000, 0.837], [0.000, 0.500, 0.500], [0.500, 0.500, 0.668], [0.500, 0.000, 0.163], [0.500, 0.000, 0.500], [0.000, 0.000, 0.000]],
  "space_group": "No. 123",
  "rho_g_cm3": 4.20,
  "formation_enthalpy_0k_mev_per_atom": -201.3
}

[9]
{
  "formula": "Li3ZnHg3",
  "functional": "GGA-PBE",
  "state": "optimized geometry",
  "cell": [[-6.296, 2.298, -0.089], [-1.351, -3.678, -5.438], [-1.717, -4.568, 3.516]],
  "species": ["Hg", "Hg", "Hg", "Hg", "Hg", "Hg", "Li", "Li", "Li", "Li", "Li", "Li", "Zn", "Zn"],
  "fractional_positions": [[0.710, 0.290, 0.000], [0.733, 0.267, 0.500], [0.290, 0.710, 0.000], [0.267, 0.733, 0.500], [0.741, 0.741, 0.500], [0.259, 0.259, 0.500], [0.500, 0.000, 0.243], [0.500, 0.000, 0.757], [0.000, 0.500, 0.757], [0.000, 0.000, 0.761], [0.000, 0.000, 0.239], [0.000, 0.500, 0.243], [0.279, 0.279, 0.000], [0.721, 0.721, 0.000]],
  "space_group": "No. 65",
  "rho_g_cm3": 8.46,
  "formation_enthalpy_0k_mev_per_atom": -230.8
}

[10]
{
  "formula": "Li8ZnHg2",
  "functional": "GGA-PBE",
  "state": "optimized geometry",
  "cell": [[4.345, 0.000, -1.322], [-1.079, 6.240, -3.544], [-0.134, -0.064, 7.358]],
  "species": ["Li", "Li", "Li", "Li", "Li", "Li", "Li", "Li", "Hg", "Hg", "Zn"],
  "fractional_positions": [[0.646, 0.852, 0.291], [0.000, 0.691, 0.000], [0.000, 0.309, 0.000], [0.140, 0.140, 0.280], [0.646, 0.440, 0.291], [0.354, 0.560, 0.709], [0.860, 0.860, 0.720], [0.354, 0.148, 0.709], [0.208, 0.708, 0.415], [0.792, 0.292, 0.585], [0.500, 0.000, 0.000]],
  "space_group": "No. 71",
  "polymorph_energy_ev_per_atom": 0.0000,
  "rho_g_cm3": 4.39,
  "formation_enthalpy_0k_mev_per_atom": -199.8
}

[11]
{
  "formula": "Li12Zn2Hg",
  "functional": "GGA-PBE",
  "state": "optimized geometry",
  "cell": [[-4.079, 3.458, -0.824], [-3.350, -4.158, -0.868], [-4.609, -0.559, 20.473]],
  "species": ["Li", "Li", "Li", "Li", "Li", "Li", "Li", "Li", "Li", "Li", "Li", "Li", "Li", "Li", "Li", "Li", "Li", "Li", "Li", "Li", "Li", "Li", "Li", "Li", "Hg", "Hg", "Zn", "Zn", "Zn", "Zn"],
  "fractional_positions": [[0.000, 0.000, 0.324], [0.500, 0.500, 0.199], [0.250, 0.750, 0.903], [0.750, 0.750, 0.903], [0.250, 0.250, 0.097], [0.686, 0.814, 0.561], [0.314, 0.186, 0.561], [0.686, 0.186, 0.439], [0.314, 0.814, 0.439], [0.500, 0.500, 0.324], [0.814, 0.314, 0.561], [0.000, 0.000, 0.676], [0.250, 0.750, 0.097], [0.750, 0.250, 0.903], [0.186, 0.686, 0.561], [0.500, 0.500, 0.676], [0.186, 0.314, 0.439], [0.750, 0.250, 0.097], [0.814, 0.686, 0.439], [0.000, 0.000, 0.801], [0.750, 0.750, 0.097], [0.500, 0.500, 0.801], [0.000, 0.000, 0.199], [0.250, 0.250, 0.903], [0.000, 0.500, 0.000], [0.500, 0.000, 0.000], [0.000, 0.500, 0.201], [0.000, 0.500, 0.799], [0.500, 0.000, 0.201], [0.500, 0.000, 0.799]],
  "space_group": "No. 125",
  "rho_g_cm3": 2.24,
  "formation_enthalpy_0k_mev_per_atom": 57.4
}